## PmMnF6 (GGA+U)

Data for an optimized crystal structure of PmMnF6.

Computed properties:
Its calculated volume is 16.176 Å³ per atom. Its energy above the most stable polymorph in this dataset is 3.23 kcal/mol of atoms. The value obtained for the density of states at the Fermi level is 0.0 states/eV/cell. For the total energy, the calculation gives -6.020 eV per atom.

```
8
Lattice="5.5390 0.0007 0.0223 2.7580 4.7701 0.0208 2.7746 1.5869 4.9126" Properties=species:S:1:pos:R:3 pbc="T T T"
Pm 5.5358 3.1788 2.4779
Mn 0.0000 0.0000 0.0000
F 3.7166 2.8330 3.7994
F 6.7535 1.7928 3.8004
F 4.9363 1.4307 1.1531
F 4.3180 4.5648 1.1554
F 7.3550 3.5246 1.1564
F 6.1352 4.9269 3.8027
```